Entry 1:
# LiSn5Te5

A relaxed structure of LiSn5Te5 (PBE-GGA, Alexandria via LeMat-Bulk).

Unit cell a=6.335 b=7.671 c=8.560 alpha=107.08 beta=90.00 gamma=114.39
Atoms (fractional coordinates):
Sn 0.653 0.307 0.811
Sn 0.347 0.693 0.189
Sn 0.663 0.326 0.343
Sn 0.000 0.000 0.500
Sn 0.337 0.674 0.657
Te 0.157 0.314 0.316
Te 0.500 0.000 0.000
Te 0.843 0.686 0.684
Te 0.180 0.360 0.842
Te 0.820 0.640 0.158
Li 0.000 0.000 0.000

Results
The value obtained for the formation energy from raw total energies is -0.2458 eV/atom. The symmetry is No. 12. The value obtained for the size of the total moment is 0.00 μB per cell.

Entry 2:
# Li2SnTe

A relaxed structure of Li2SnTe (PBE-GGA, Alexandria via LeMat-Bulk).

Unit cell a=5.013 b=5.013 c=5.013 alpha=60.00 beta=60.00 gamma=60.00
Atoms (fractional coordinates):
Li 0.750 0.750 0.750
Li 0.250 0.250 0.250
Te 0.500 0.500 0.500
Sn 0.000 0.000 0.000

Results
The value obtained for the formation energy from raw total energies is -0.3798 eV/atom. The symmetry is No. 225. For the energy above the most stable polymorph in this dataset, the calculation gives 95 meV per atom. The value obtained for the size of the total moment is 0.00 μB per cell.